# NdSmYAg GGA-PBE optimized geometry
# - Formation enthalpy at 0 K: -0.13 eV/atom
# - Electronic total energy: -19.31 eV for the cell shown
data_NdSmYAg
_symmetry_space_group_name_H-M 'P 4 m m'
_symmetry_Int_Tables_number 99
_symmetry_space_group_name_Hall 'P 4 -2'
_cell_length_a 3.666
_cell_length_b 3.666
_cell_length_c 8.844
_cell_angle_alpha 90.00
_cell_angle_beta 90.00
_cell_angle_gamma 90.00
loop_
_atom_site_label
_atom_site_type_symbol
_atom_site_fract_x
_atom_site_fract_y
_atom_site_fract_z
Nd1 Nd 0.000 0.000 0.000
Sm1 Sm 0.500 0.500 0.708
Y1 Y 0.500 0.500 0.291
Ag1 Ag 0.000 0.000 0.491

=====

# Cd2AsP GGA-PBE optimized geometry
# - Formation enthalpy at 0 K: 0.44 eV/atom
# - Electronic total energy: -40.52 eV for the cell shown
data_Cd2AsP
_symmetry_space_group_name_H-M 'F -4 3 m'
_symmetry_Int_Tables_number 216
_symmetry_space_group_name_Hall 'F -4 2 3'
_cell_length_a 6.891
_cell_length_b 6.891
_cell_length_c 6.891
_cell_angle_alpha 90.00
_cell_angle_beta 90.00
_cell_angle_gamma 90.00
loop_
_atom_site_label
_atom_site_type_symbol
_atom_site_fract_x
_atom_site_fract_y
_atom_site_fract_z
Cd1 Cd 0.000 0.000 0.000
Cd2 Cd 0.250 0.250 0.250
As1 As 0.000 0.000 0.500
P1 P 0.250 0.250 0.750

=====

# Pa2Bi2Sb GGA-PBE optimized geometry
# - Electronic total energy: -61.90 eV for the cell shown
# - Raw formation energy: -0.1 eV/f.u.
data_Pa2Bi2Sb
_symmetry_space_group_name_H-M 'I m m m'
_symmetry_Int_Tables_number 71
_symmetry_space_group_name_Hall '-I 2 2'
_cell_length_a 4.320
_cell_length_b 6.204
_cell_length_c 13.285
_cell_angle_alpha 90.00
_cell_angle_beta 90.00
_cell_angle_gamma 90.00
loop_
_atom_site_label
_atom_site_type_symbol
_atom_site_fract_x
_atom_site_fract_y
_atom_site_fract_z
Pa1 Pa 0.000 0.000 0.162
Bi1 Bi 0.000 0.500 0.160
Sb1 Sb 0.000 0.500 0.500

=====

no.,volume (Å³ per cell),DOS at the Fermi energy (states/eV/f.u.)
1,118.83,5.94
2,327.22,4.31
3,356.00,5.87